1.
An optimized crystal structure of NiH5Rh, computed with PBE.

For the total energy, the calculation gives -4.224 eV per atom. As for the space-group type: P2_1/m. Its crystal system is monoclinic.

Unit cell a=4.563 b=2.734 c=7.485 alpha=90.00 beta=91.85 gamma=90.00
Fractional positions:
Ni 0.018 0.250 0.348
Ni 0.982 0.750 0.652
H 0.110 0.750 0.217
H 0.154 0.250 0.564
H 0.239 0.750 0.821
H 0.347 0.250 0.046
H 0.399 0.250 0.338
H 0.601 0.750 0.662
H 0.653 0.750 0.954
H 0.761 0.250 0.179
H 0.846 0.750 0.436
H 0.890 0.250 0.783
Rh 0.495 0.750 0.186
Rh 0.505 0.250 0.814

***

2.
An optimized crystal structure of GdErTmIn, computed with PBE.

Its formation energy is -0.14 eV per atom. As for the space-group type: F-43m. Its crystal system is cubic.

Unit cell a=5.419 b=5.419 c=5.419 alpha=60.00 beta=60.00 gamma=60.00
Fractional positions:
Gd 0.000 0.000 0.000
Er 0.750 0.750 0.750
Tm 0.500 0.500 0.500
In 0.250 0.250 0.250

***

3.
An optimized crystal structure of Rb2TlPb, computed with PBE.

Its formation energy is 0.07 eV per atom. As for the space-group type: P4/mmm. Its crystal system is tetragonal.

Unit cell a=6.579 b=6.579 c=3.958 alpha=90.00 beta=90.00 gamma=90.00
Fractional positions:
Rb 0.000 0.500 0.000
Rb 0.500 0.000 0.000
Tl 0.000 0.000 0.500
Pb 0.500 0.500 0.500

***

The evaluated theoretical density for the records listed, in turn: 5.929 8.977 5.646 g/cm3.
The evaluated calculated volume for the records listed, in turn: 93 113 171 Å³ per cell.